# ZrTa2Zn

A relaxed ZrTa2Zn crystal (PBE-GGA, Alexandria).

```
ZrTa2Zn
1.0
2.8835 -4.8741 0.0000
2.8835 4.8741 0.0000
-1.0924 0.0000 2.6305
Zr Ta Zn
1 2 1
Cartesian
0.0000 0.0000 0.0000
0.8955 2.4370 1.3152
0.8955 -2.4370 1.3152
2.8835 0.0000 0.0000
```

SG = C2/m, No. 12
volume = 18.5 Å³ per atom
ΔH_f (0 K) = 0.1251 eV/atom
magnetic moment = 0.00 μB/atom

# ZrTaZn2

A relaxed ZrTaZn2 crystal (PBE-GGA, Alexandria).

```
ZrTaZn2
1.0
4.8165 0.0000 0.0000
0.0000 4.8165 0.0000
0.0000 0.0000 2.9766
Zr Ta Zn
1 1 2
Cartesian
0.0000 0.0000 0.0000
2.4083 2.4083 0.0000
0.0000 2.4083 1.4883
2.4083 0.0000 1.4883
```

SG = P4/mmm, No. 123
volume = 17.3 Å³ per atom
ΔH_f (0 K) = -0.0186 eV/atom
magnetic moment = 0.00 μB/atom